Model a:
HfZrAg PBE relaxed; calculated volume = 125.7 Å³/cell; space group = No. 123
1.0
3.2446 0.0000 0.0000
0.0000 3.2446 0.0000
0.0000 0.0000 11.9413
Ag Hf Zr
2 2 2
direct
0.0000 0.0000 0.0000
0.5000 0.5000 0.5000
0.0000 0.0000 0.6619
0.0000 0.0000 0.3381
0.5000 0.5000 0.8337
0.5000 0.5000 0.1663

Model b:
HfZrAg PBE relaxed; calculated volume = 70.8 Å³/cell; space group = No. 216
1.0
4.4078 -1.4087 -0.3912
2.2853 -1.5416 3.7372
1.0398 -4.5093 0.3895
Zr Hf Ag
1 1 1
direct
0.7500 0.7500 0.7500
0.2500 0.2500 0.2500
0.0000 0.0000 0.0000

Most stable one: model a, least stable one: model b.